1.
# PBE Cs2SbPtI, relaxed
data_Cs2SbPtI
_chemical_formula_sum 'Cs2 Sb1 Pt1 I1'
_symmetry_space_group_name_H-M 'P 4/m m m'
_symmetry_Int_Tables_number 123
_symmetry_space_group_name_Hall '-P 4 2'
_cell_length_a 7.0490
_cell_length_b 7.0490
_cell_length_c 4.9338
_cell_angle_alpha 90.00
_cell_angle_beta 90.00
_cell_angle_gamma 90.00
loop_
_atom_site_label
_atom_site_type_symbol
_atom_site_fract_x
_atom_site_fract_y
_atom_site_fract_z
Cs1 Cs 0.0000 0.5000 0.0000
Sb1 Sb 0.0000 0.0000 0.5000
Pt1 Pt 0.0000 0.0000 0.0000
I1 I 0.5000 0.5000 0.5000
# ΔE_f (raw) in kJ per mole of atoms: -63.5
# Calculated volume in Å³/atom: 49.03
# Total energy in eV/f.u.: -16.710



2.
# PBE CsSbPt2I, relaxed
data_CsSbPt2I
_chemical_formula_sum 'Cs1 Sb1 Pt2 I1'
_symmetry_space_group_name_H-M 'P 4/m m m'
_symmetry_Int_Tables_number 123
_symmetry_space_group_name_Hall '-P 4 2'
_cell_length_a 5.1261
_cell_length_b 5.1261
_cell_length_c 6.6095
_cell_angle_alpha 90.00
_cell_angle_beta 90.00
_cell_angle_gamma 90.00
loop_
_atom_site_label
_atom_site_type_symbol
_atom_site_fract_x
_atom_site_fract_y
_atom_site_fract_z
Cs1 Cs 0.0000 0.0000 0.0000
Sb1 Sb 0.5000 0.5000 0.0000
Pt1 Pt 0.0000 0.5000 0.5000
I1 I 0.0000 0.0000 0.5000
# ΔE_f (raw) in kJ per mole of atoms: 81.1
# Calculated volume in Å³/atom: 34.74
# Total energy in eV/f.u.: -14.406



3.
# PBE Cs2PtSeI, relaxed
data_Cs2PtSeI
_chemical_formula_sum 'Cs2 Pt1 Se1 I1'
_symmetry_space_group_name_H-M 'P 4/m m m'
_symmetry_Int_Tables_number 123
_symmetry_space_group_name_Hall '-P 4 2'
_cell_length_a 7.0135
_cell_length_b 7.0135
_cell_length_c 4.6200
_cell_angle_alpha 90.00
_cell_angle_beta 90.00
_cell_angle_gamma 90.00
loop_
_atom_site_label
_atom_site_type_symbol
_atom_site_fract_x
_atom_site_fract_y
_atom_site_fract_z
Cs1 Cs 0.0000 0.5000 0.0000
Pt1 Pt 0.0000 0.0000 0.0000
Se1 Se 0.0000 0.0000 0.5000
I1 I 0.5000 0.5000 0.5000
# ΔE_f (raw) in kJ per mole of atoms: -81.4
# Calculated volume in Å³/atom: 45.45
# Total energy in eV/f.u.: -17.001



What did the first record say?
# PBE Cs2SbPtI, relaxed
data_Cs2SbPtI
_chemical_formula_sum 'Cs2 Sb1 Pt1 I1'
_symmetry_space_group_name_H-M 'P 4/m m m'
_symmetry_Int_Tables_number 123
_symmetry_space_group_name_Hall '-P 4 2'
_cell_length_a 7.0490
_cell_length_b 7.0490
_cell_length_c 4.9338
_cell_angle_alpha 90.00
_cell_angle_beta 90.00
_cell_angle_gamma 90.00
loop_
_atom_site_label
_atom_site_type_symbol
_atom_site_fract_x
_atom_site_fract_y
_atom_site_fract_z
Cs1 Cs 0.0000 0.5000 0.0000
Sb1 Sb 0.0000 0.0000 0.5000
Pt1 Pt 0.0000 0.0000 0.0000
I1 I 0.5000 0.5000 0.5000
# ΔE_f (raw) in kJ per mole of atoms: -63.5
# Calculated volume in Å³/atom: 49.03
# Total energy in eV/f.u.: -16.710